Record 1
Density functional theory data (PBE) for a geometry-optimized AlAs2SeI structure.

Properties
The magnetic moment comes out at 0.346 μB per formula unit. Its final energy is -12.31 eV per formula unit. As for the energy above the most stable polymorph in this dataset: 358.7 kJ/mol of formula units. For the uncorrected formation energy, the calculation gives 1.1534 eV/atom. The density of states at the Fermi level is 6.22 states/eV/f.u.

Cell: 5.423 5.423 5.425 Å, 90.00 90.00 90.00°
Element x y z (fractional)
1 Al 0.000 0.000 0.000
2 As 0.000 0.500 0.500
3 As 0.500 0.000 0.500
4 Se 0.500 0.500 0.000
5 I 0.500 0.500 0.500

---

Record 2
Density functional theory data (PBE) for a geometry-optimized AlTeAsI2 structure.

Properties
The magnetic moment comes out at 0.000 μB per formula unit. Its final energy is -13.16 eV per formula unit. As for the energy above the most stable polymorph in this dataset: 0.0 kJ/mol of formula units. For the uncorrected formation energy, the calculation gives 0.2951 eV/atom. The density of states at the Fermi level is 2.84 states/eV/f.u.

Cell: 5.715 5.715 5.575 Å, 90.00 90.00 90.00°
Element x y z (fractional)
1 Al 0.000 0.000 0.000
2 Te 0.500 0.500 0.000
3 As 0.500 0.500 0.500
4 I 0.000 0.500 0.500
5 I 0.500 0.000 0.500

---

Record 3
Density functional theory data (PBE) for a geometry-optimized AlTeAsI2 structure.

Properties
The magnetic moment comes out at 1.655 μB per formula unit. Its final energy is -12.58 eV per formula unit. As for the energy above the most stable polymorph in this dataset: 55.9 kJ/mol of formula units. For the uncorrected formation energy, the calculation gives 0.4111 eV/atom. The density of states at the Fermi level is 2.43 states/eV/f.u.

Cell: 5.400 5.400 5.756 Å, 90.00 90.00 90.00°
Element x y z (fractional)
1 Al 0.000 0.000 0.000
2 Te 0.000 0.000 0.500
3 As 0.500 0.500 0.500
4 I 0.000 0.500 0.000
5 I 0.500 0.000 0.000

---

Record 4
Density functional theory data (PBE) for a geometry-optimized AlInAs2 structure.

Properties
The magnetic moment comes out at 0.000 μB per formula unit. Its final energy is -14.67 eV per formula unit. For the formation energy, the calculation gives 0.278 eV per atom. As for the energy above the most stable polymorph in this dataset: 247.2 kJ/mol of formula units. The density of states at the Fermi level is 1.72 states/eV/f.u.

Cell: 4.909 4.909 4.909 Å, 60.00 60.00 60.00°
Element x y z (fractional)
1 Al 0.000 0.000 0.000
2 In 0.250 0.250 0.250
3 As 0.500 0.500 0.500
4 As 0.750 0.750 0.750